MgAg5Sn2: optimized geometry, PBE-GGA.

Properties
* ΔH_f (0 K): -39 meV/atom
* D(E_F): 2.3 states/eV/f.u.
* polymorph energy (0 for the lowest one): 18 meV/atom
* total magnetization: 0.00 μB per atom
* crystal system: orthorhombic
* volume: 19.91 A^3/atom

Cell: 10.066 10.247 6.177 Å, 90.00 90.00 90.00°
Fractional coordinates of all 32 atoms:
Mg (0.233, 0.092, 0.000)
Mg (0.267, 0.592, 0.000)
Mg (0.733, 0.408, 0.000)
Mg (0.767, 0.908, 0.000)
Ag (0.000, 0.000, 0.238)
Ag (0.000, 0.000, 0.762)
Ag (0.012, 0.751, 0.000)
Ag (0.020, 0.753, 0.500)
Ag (0.246, 0.338, 0.241)
Ag (0.246, 0.338, 0.759)
Ag (0.254, 0.838, 0.241)
Ag (0.254, 0.838, 0.759)
Ag (0.480, 0.253, 0.500)
Ag (0.488, 0.251, 0.000)
Ag (0.500, 0.500, 0.238)
Ag (0.500, 0.500, 0.762)
Ag (0.512, 0.749, 0.000)
Ag (0.520, 0.747, 0.500)
Ag (0.746, 0.162, 0.241)
Ag (0.746, 0.162, 0.759)
Ag (0.754, 0.662, 0.241)
Ag (0.754, 0.662, 0.759)
Ag (0.980, 0.247, 0.500)
Ag (0.988, 0.249, 0.000)
Sn (0.000, 0.500, 0.250)
Sn (0.000, 0.500, 0.750)
Sn (0.222, 0.092, 0.500)
Sn (0.278, 0.592, 0.500)
Sn (0.500, 0.000, 0.250)
Sn (0.500, 0.000, 0.750)
Sn (0.722, 0.408, 0.500)
Sn (0.778, 0.908, 0.500)

MgGaPCl2: optimized geometry, PBE-GGA.

Properties
* E_form (uncorrected): -393 meV/atom
* D(E_F): 1.7 states/eV/f.u.
* polymorph energy (0 for the lowest one): 0 meV/atom
* total magnetization: 0.40 μB per atom
* crystal system: tetragonal
* volume: 25.96 A^3/atom

Cell: 4.996 4.996 5.201 Å, 90.00 90.00 90.00°
Fractional coordinates of all 5 atoms:
Mg (0.000, 0.000, 0.000)
Ga (0.500, 0.500, 0.500)
P (0.000, 0.000, 0.500)
Cl (0.000, 0.500, 0.000)
Cl (0.500, 0.000, 0.000)